YSeCl2: optimized geometry, PBE.

The energy relative to the elements, uncorrected is -1.1073 eV/atom. The crystal system is orthorhombic. The calculated volume is 22.0 Å³ per atom.

The structure belongs to space group Pmmm (No. 47); the cell edges are 4.0760, 4.5901 and 4.7009 Å and the angles 90.00°, 90.00° and 90.00°. The inequivalent atoms are Y at (0.0000, 0.0000, 0.0000), Se at (0.5000, 0.0000, 0.5000), Cl at (0.0000, 0.5000, 0.5000) and Cl at (0.5000, 0.5000, 0.0000).